PBE-GGA Li2YCu2, optimized geometry; size of the total moment = 0.0 μB per formula unit; formation energy from the elements = -0.096 eV/atom; total energy = -3.793 eV/atom
1.0
-0.197 3.798 -0.012
-2.574 -0.124 2.796
3.163 2.086 5.591
Li Y Cu
2 1 2
Direct
0.250 0.750 0.500
0.750 0.250 0.500
0.000 0.000 0.000
0.600 0.600 0.800
0.400 0.400 0.200